SiPbI3 | PBEsol | relaxed

The density of states at the Fermi level is 3.7 states/eV/f.u. The value obtained for the formation energy without anion corrections is 0.073 eV/atom.

It has space group Pm-3m (No. 221), with a = 5.519 Å, b = 5.519 Å, c = 5.519 Å, α = 90.00°, β = 90.00° and γ = 90.00°. The asymmetric unit holds Si at (0.000, 0.000, 0.000), Pb at (0.500, 0.500, 0.500) and I at (0.000, 0.000, 0.500).


SnPbI3 | PBEsol | relaxed

The density of states at the Fermi level is 1.9 states/eV/f.u. The value obtained for the formation energy without anion corrections is -0.021 eV/atom.

It has space group Pm-3m (No. 221), with a = 5.947 Å, b = 5.947 Å, c = 5.947 Å, α = 90.00°, β = 90.00° and γ = 90.00°. The asymmetric unit holds Sn at (0.000, 0.000, 0.000), Pb at (0.500, 0.500, 0.500) and I at (0.000, 0.000, 0.500).


SnTePbI2 | PBEsol | relaxed

The density of states at the Fermi level is 2.1 states/eV/f.u. The value obtained for the formation energy without anion corrections is 0.213 eV/atom.

It has space group P4/mmm (No. 123), with a = 5.894 Å, b = 5.894 Å, c = 5.959 Å, α = 90.00°, β = 90.00° and γ = 90.00°. The asymmetric unit holds Sn at (0.000, 0.000, 0.000), Te at (0.500, 0.500, 0.000), Pb at (0.500, 0.500, 0.500) and I at (0.000, 0.500, 0.500).